1.
Here is a geometry-optimized TbGeIr structure from the Alexandria database. Energies are from PBE-GGA. Values from VASP.

D(E_F)   4.9 states/eV per cell
DFT total energy   -6.96 eV/atom
SG   No. 62
DFT formation energy   -0.9221 eV per atom
Size of the total moment   0.00 μB/f.u.

Quantum ESPRESSO input file:
```
&SYSTEM
  ibrav = 0, nat = 12, ntyp = 3
/
ATOMIC_SPECIES
Tb 158.93 Tb.upf
Ge 72.64 Ge.upf
Ir 192.22 Ir.upf
ATOMIC_POSITIONS crystal
Tb 0.0010 0.2500 0.1925
Tb 0.4990 0.7500 0.6925
Tb 0.5010 0.2500 0.3075
Tb 0.9990 0.7500 0.8075
Ge 0.2060 0.7500 0.3924
Ge 0.2940 0.2500 0.8924
Ge 0.7060 0.7500 0.1076
Ge 0.7940 0.2500 0.6076
Ir 0.1623 0.2500 0.5676
Ir 0.3377 0.7500 0.0676
Ir 0.6623 0.2500 0.9324
Ir 0.8377 0.7500 0.4324
CELL_PARAMETERS angstrom
6.9340 0.0000 0.0000
0.0000 4.3508 0.0000
0.0000 0.0000 7.6027
```



2.
Here is a geometry-optimized Hf2Cr2Sb structure from the Alexandria database. Energies are from PBE-GGA. Values from VASP.

D(E_F)   12.6 states/eV per cell
Raw formation energy   -0.02 eV/atom
DFT total energy   -8.67 eV/atom
SG   No. 127
Size of the total moment   0.00 μB/f.u.

Quantum ESPRESSO input file:
```
&SYSTEM
  ibrav = 0, nat = 10, ntyp = 3
/
ATOMIC_SPECIES
Hf 178.49 Hf.upf
Cr 52.00 Cr.upf
Sb 121.76 Sb.upf
ATOMIC_POSITIONS crystal
Hf 0.1787 0.3213 0.0000
Hf 0.3213 0.8213 0.0000
Hf 0.6787 0.1787 0.0000
Hf 0.8213 0.6787 0.0000
Cr 0.1048 0.6048 0.5000
Cr 0.3952 0.1048 0.5000
Cr 0.6048 0.8952 0.5000
Cr 0.8952 0.3952 0.5000
Sb 0.0000 0.0000 0.5000
Sb 0.5000 0.5000 0.5000
CELL_PARAMETERS angstrom
6.7953 0.0000 0.0000
0.0000 6.7953 0.0000
0.0000 0.0000 3.9361
```



3.
Here is a geometry-optimized Co2PtPb structure from the Alexandria database. Energies are from PBE-GGA. Values from VASP.

D(E_F)   9.0 states/eV per cell
DFT total energy   -5.73 eV/atom
SG   No. 44
DFT formation energy   0.2617 eV per atom
Size of the total moment   2.68 μB/f.u.

Quantum ESPRESSO input file:
```
&SYSTEM
  ibrav = 0, nat = 8, ntyp = 3
/
ATOMIC_SPECIES
Co 58.93 Co.upf
Pt 195.08 Pt.upf
Pb 207.20 Pb.upf
ATOMIC_POSITIONS crystal
Co 0.0000 0.0000 0.0000
Co 0.0000 0.5000 0.2518
Co 0.5000 0.0000 0.7518
Co 0.5000 0.5000 0.5000
Pt 0.0000 0.0000 0.5013
Pt 0.5000 0.5000 0.0013
Pb 0.0000 0.5000 0.7506
Pb 0.5000 0.0000 0.2506
CELL_PARAMETERS angstrom
3.9269 0.0000 0.0000
0.0000 3.9461 0.0000
0.0000 0.0000 7.8496
```



4.
Here is a geometry-optimized LiZnCl2 structure from the Alexandria database. Energies are from PBE-GGA. Values from VASP.

D(E_F)   1.3 states/eV per cell
Raw formation energy   -0.79 eV/atom
DFT total energy   -2.51 eV/atom
SG   No. 123
Size of the total moment   0.00 μB/f.u.

Quantum ESPRESSO input file:
```
&SYSTEM
  ibrav = 0, nat = 4, ntyp = 3
/
ATOMIC_SPECIES
Li 6.94 Li.upf
Zn 65.41 Zn.upf
Cl 35.45 Cl.upf
ATOMIC_POSITIONS crystal
Li 0.0000 0.0000 0.0000
Zn 0.5000 0.5000 0.0000
Cl 0.0000 0.5000 0.5000
Cl 0.5000 0.0000 0.5000
CELL_PARAMETERS angstrom
4.7648 0.0000 0.0000
0.0000 4.7648 0.0000
0.0000 0.0000 3.3693
```



5.
Here is a geometry-optimized Pm3Pr8Sm3 structure from the Alexandria database. Energies are from PBE-GGA. Values from VASP.

D(E_F)   18.4 states/eV per cell
DFT total energy   -4.66 eV/atom
SG   No. 71
DFT formation energy   0.1025 eV per atom
Size of the total moment   0.00 μB/f.u.

Quantum ESPRESSO input file:
```
&SYSTEM
  ibrav = 0, nat = 14, ntyp = 3
/
ATOMIC_SPECIES
Pm 145.00 Pm.upf
Pr 140.91 Pr.upf
Sm 150.36 Sm.upf
ATOMIC_POSITIONS crystal
Pm 0.0000 0.0000 0.0000
Pm 0.3037 0.0000 0.3037
Pm 0.6963 0.0000 0.6963
Pr 0.0590 0.3961 0.6629
Pr 0.0654 0.2236 0.8418
Pr 0.2668 0.6039 0.6629
Pr 0.3818 0.2236 0.1582
Pr 0.6182 0.7764 0.8418
Pr 0.7332 0.3961 0.3371
Pr 0.9346 0.7764 0.1582
Pr 0.9410 0.6039 0.3371
Sm 0.3190 0.8190 0.5000
Sm 0.5000 0.5000 0.0000
Sm 0.6810 0.1810 0.5000
CELL_PARAMETERS angstrom
-2.8983 5.5191 7.7884
2.8983 -5.5191 7.7884
2.8983 5.5191 -7.7884
```



6.
Here is a geometry-optimized Ac12SmY3 structure from the Alexandria database. Energies are from PBE-GGA. Values from VASP.

D(E_F)   22.7 states/eV per cell
DFT total energy   -4.56 eV/atom
SG   No. 123
DFT formation energy   0.0287 eV per atom
Size of the total moment   0.00 μB/f.u.

Quantum ESPRESSO input file:
```
&SYSTEM
  ibrav = 0, nat = 16, ntyp = 3
/
ATOMIC_SPECIES
Ac 227.00 Ac.upf
Sm 150.36 Sm.upf
Y 88.91 Y.upf
ATOMIC_POSITIONS crystal
Ac 0.0000 0.0000 0.0000
Ac 0.0000 0.0000 0.2502
Ac 0.0000 0.0000 0.5000
Ac 0.0000 0.0000 0.7498
Ac 0.0000 0.5000 0.1254
Ac 0.0000 0.5000 0.3752
Ac 0.0000 0.5000 0.6248
Ac 0.0000 0.5000 0.8746
Ac 0.5000 0.0000 0.1254
Ac 0.5000 0.0000 0.3752
Ac 0.5000 0.0000 0.6248
Ac 0.5000 0.0000 0.8746
Sm 0.5000 0.5000 0.0000
Y 0.5000 0.5000 0.2505
Y 0.5000 0.5000 0.5000
Y 0.5000 0.5000 0.7495
CELL_PARAMETERS angstrom
5.5032 0.0000 0.0000
0.0000 5.5032 0.0000
0.0000 0.0000 21.9907
```



7.
Here is a geometry-optimized Nd2Ag3Au structure from the Alexandria database. Energies are from PBE-GGA. Values from VASP.

D(E_F)   10.4 states/eV per cell
DFT total energy   -3.96 eV/atom
SG   No. 69
DFT formation energy   -0.3940 eV per atom
Size of the total moment   0.00 μB/f.u.

Quantum ESPRESSO input file:
```
&SYSTEM
  ibrav = 0, nat = 12, ntyp = 3
/
ATOMIC_SPECIES
Nd 144.24 Nd.upf
Ag 107.87 Ag.upf
Au 196.97 Au.upf
ATOMIC_POSITIONS crystal
Nd 0.2482 0.7518 0.7518
Nd 0.2500 0.2500 0.2500
Nd 0.7500 0.7500 0.7500
Nd 0.7518 0.2482 0.2482
Ag 0.1687 0.6656 0.3344
Ag 0.3341 0.3341 0.6659
Ag 0.3344 0.8313 0.1687
Ag 0.6656 0.1687 0.8313
Ag 0.6659 0.6659 0.3341
Ag 0.8313 0.3344 0.6656
Au 0.1667 0.1667 0.8333
Au 0.8333 0.8333 0.1667
CELL_PARAMETERS angstrom
0.0000 4.8073 8.3531
3.5399 0.0000 8.3531
3.5399 4.8073 0.0000
```



8.
Here is a geometry-optimized Ta2TiZn structure from the Alexandria database. Energies are from PBE-GGA. Values from VASP.

D(E_F)   4.2 states/eV per cell
DFT total energy   -8.21 eV/atom
SG   No. 123
DFT formation energy   0.0041 eV per atom
Size of the total moment   0.00 μB/f.u.

Quantum ESPRESSO input file:
```
&SYSTEM
  ibrav = 0, nat = 4, ntyp = 3
/
ATOMIC_SPECIES
Ta 180.95 Ta.upf
Ti 47.87 Ti.upf
Zn 65.41 Zn.upf
ATOMIC_POSITIONS crystal
Ta 0.0000 0.5000 0.0000
Ta 0.5000 0.0000 0.0000
Ti 0.0000 0.0000 0.5000
Zn 0.5000 0.5000 0.5000
CELL_PARAMETERS angstrom
3.9861 0.0000 0.0000
0.0000 3.9861 0.0000
0.0000 0.0000 4.2575
```



9.
Here is a geometry-optimized SrPr6Ho2 structure from the Alexandria database. Energies are from PBE-GGA. Values from VASP.

D(E_F)   15.7 states/eV per cell
DFT total energy   -4.26 eV/atom
SG   No. 71
DFT formation energy   0.1269 eV per atom
Size of the total moment   0.00 μB/f.u.

Quantum ESPRESSO input file:
```
&SYSTEM
  ibrav = 0, nat = 9, ntyp = 3
/
ATOMIC_SPECIES
Sr 87.62 Sr.upf
Pr 140.91 Pr.upf
Ho 164.93 Ho.upf
ATOMIC_POSITIONS crystal
Sr 0.0000 0.0000 0.0000
Pr 0.0109 0.3272 0.6836
Pr 0.3370 0.5000 0.8370
Pr 0.3564 0.6728 0.6836
Pr 0.6436 0.3272 0.3164
Pr 0.6630 0.5000 0.1630
Pr 0.9891 0.6728 0.3164
Ho 0.3489 0.8489 0.5000
Ho 0.6511 0.1511 0.5000
CELL_PARAMETERS angstrom
-1.8211 5.0598 8.9836
1.8211 -5.0598 8.9836
1.8211 5.0598 -8.9836
```



10.
Here is a geometry-optimized NaTc2O structure from the Alexandria database. Energies are from PBE-GGA. Values from VASP.

D(E_F)   17.0 states/eV per cell
Raw formation energy   0.51 eV/atom
DFT total energy   -6.25 eV/atom
SG   No. 141
Size of the total moment   2.36 μB/f.u.

Quantum ESPRESSO input file:
```
&SYSTEM
  ibrav = 0, nat = 16, ntyp = 3
/
ATOMIC_SPECIES
Na 22.99 Na.upf
Tc 98.00 Tc.upf
O 16.00 O.upf
ATOMIC_POSITIONS crystal
Na 0.0000 0.2500 0.3750
Na 0.0000 0.7500 0.6250
Na 0.5000 0.2500 0.1250
Na 0.5000 0.7500 0.8750
Tc 0.0000 0.0000 0.0000
Tc 0.0000 0.5000 0.0000
Tc 0.2500 0.2500 0.7500
Tc 0.2500 0.7500 0.2500
Tc 0.5000 0.0000 0.5000
Tc 0.5000 0.5000 0.5000
Tc 0.7500 0.2500 0.7500
Tc 0.7500 0.7500 0.2500
O 0.0000 0.2500 0.8750
O 0.0000 0.7500 0.1250
O 0.5000 0.2500 0.6250
O 0.5000 0.7500 0.3750
CELL_PARAMETERS angstrom
4.8522 0.0000 0.0000
0.0000 4.8522 0.0000
0.0000 0.0000 13.3266
```



11.
Here is a geometry-optimized PuAgIrO6 structure from the Alexandria database. Energies are from PBE-GGA. Values from VASP.

D(E_F)   12.1 states/eV per cell
Raw formation energy   -1.36 eV/atom
DFT total energy   -7.56 eV/atom
SG   No. 163
Size of the total moment   1.52 μB/f.u.

Quantum ESPRESSO input file:
```
&SYSTEM
  ibrav = 0, nat = 18, ntyp = 4
/
ATOMIC_SPECIES
Pu 244.00 Pu.upf
Ag 107.87 Ag.upf
Ir 192.22 Ir.upf
O 16.00 O.upf
ATOMIC_POSITIONS crystal
Pu 0.3333 0.6667 0.2500
Pu 0.6667 0.3333 0.7500
Ag 0.0000 0.0000 0.0000
Ag 0.0000 0.0000 0.5000
Ir 0.3333 0.6667 0.7500
Ir 0.6667 0.3333 0.2500
O 0.0113 0.3622 0.6390
O 0.0113 0.6490 0.8610
O 0.3510 0.3622 0.8610
O 0.3510 0.9887 0.6390
O 0.3622 0.0113 0.1390
O 0.3622 0.3510 0.3610
O 0.6378 0.6490 0.6390
O 0.6378 0.9887 0.8610
O 0.6490 0.0113 0.3610
O 0.6490 0.6378 0.1390
O 0.9887 0.3510 0.1390
O 0.9887 0.6378 0.3610
CELL_PARAMETERS angstrom
5.3114 0.0000 0.0000
-2.6557 4.5998 0.0000
0.0000 0.0000 9.9969
```



12.
Here is a geometry-optimized Pt2BrCl2 structure from the Alexandria database. Energies are from PBE-GGA. Values from VASP.

D(E_F)   3.4 states/eV per cell
Raw formation energy   0.13 eV/atom
DFT total energy   -3.36 eV/atom
SG   No. 127
Size of the total moment   0.00 μB/f.u.

Quantum ESPRESSO input file:
```
&SYSTEM
  ibrav = 0, nat = 10, ntyp = 3
/
ATOMIC_SPECIES
Pt 195.08 Pt.upf
Br 79.90 Br.upf
Cl 35.45 Cl.upf
ATOMIC_POSITIONS crystal
Pt 0.2298 0.2702 0.0000
Pt 0.2702 0.7702 0.0000
Pt 0.7298 0.2298 0.0000
Pt 0.7702 0.7298 0.0000
Br 0.0000 0.0000 0.0000
Br 0.5000 0.5000 0.0000
Cl 0.1691 0.3309 0.5000
Cl 0.3309 0.8309 0.5000
Cl 0.6691 0.1691 0.5000
Cl 0.8309 0.6691 0.5000
CELL_PARAMETERS angstrom
7.3151 0.0000 0.0000
0.0000 7.3151 0.0000
0.0000 0.0000 4.4768
```



What is the DFT total energy in the seventh record?
-3.96 eV/atom



Look up the D(E_F) of the fourth one.
1.3 states/eV per cell



Among the records above, which one has the highest D(E_F)?
Ac12SmY3



Which value of DFT total energy does entry 12 give?
-3.36 eV/atom